This record from Alexandria via LeMat-Bulk describes a relaxed OsN2OF crystal. The functional is PBE.

```
OsN2OF
1.0
3.724 0.000 0.000
0.000 3.724 0.000
0.000 0.000 3.343
Os N O F
1 2 1 1
direct
0.000 0.000 0.000
0.000 0.500 0.500
0.500 0.000 0.500
0.500 0.500 0.500
0.500 0.500 0.000
```

Fermi-level density of states: 0.676 states/eV/atom
formation energy (no corrections): 11.15 eV per formula unit
space-group type: P4/mmm